(1)
Compound: Pr2DyZn
Source: the Alexandria database
Functional: PBE-GGA
Structure: optimized geometry

Computed properties:
The value obtained for the formation energy is -0.015 eV/atom. As for the relative energy among the computed polymorphs: 138.1 meV per atom. For the density of states at the Fermi level, the calculation gives 5.05 states/eV/f.u.

abc: 10.779 10.779 10.779
angles: 19.70 19.70 19.70
Positions (direct):
Pr: 0.000 0.000 0.000
Pr: 0.187 0.187 0.187
Dy: 0.426 0.426 0.426
Zn: 0.593 0.593 0.593


(2)
Compound: Pr8Dy2Zn
Source: the Alexandria database
Functional: PBE-GGA
Structure: optimized geometry

Computed properties:
The value obtained for the formation energy is -0.013 eV/atom. For the density of states at the Fermi level, the calculation gives 13.25 states/eV/f.u.

abc: 10.196 10.196 6.591
angles: 93.00 93.00 32.70
Positions (direct):
Pr: 0.040 0.040 0.251
Pr: 0.157 0.157 0.806
Pr: 0.344 0.344 0.880
Pr: 0.420 0.420 0.392
Pr: 0.580 0.580 0.608
Pr: 0.656 0.656 0.120
Pr: 0.843 0.843 0.194
Pr: 0.960 0.960 0.749
Dy: 0.237 0.237 0.335
Dy: 0.763 0.763 0.665
Zn: 0.500 0.500 0.000


(3)
Compound: Pr2DyZn3
Source: the Alexandria database
Functional: PBE-GGA
Structure: optimized geometry

Computed properties:
The value obtained for the formation energy is -0.308 eV/atom. For the density of states at the Fermi level, the calculation gives 7.22 states/eV/f.u.

abc: 3.652 3.652 11.077
angles: 90.00 90.00 90.00
Positions (direct):
Pr: 0.000 0.000 0.172
Pr: 0.000 0.000 0.828
Dy: 0.000 0.000 0.500
Zn: 0.500 0.500 0.000
Zn: 0.500 0.500 0.349
Zn: 0.500 0.500 0.651


no.,total moment (μB/f.u.),E_tot (eV/atom)
1,0.00,-3.874
2,0.00,-4.442
3,0.00,-3.305